No. 1
Entry from the Alexandria database: a relaxed Mn2NiIr crystal (PBE-GGA).

The structure in POSCAR format:
```
Mn2NiIr
1.0
-7.394 -2.053 3.545
-7.624 -3.411 1.301
-6.349 -4.462 3.351
Ir Mn Ni
1 2 1
direct
0.748 0.748 0.748
0.998 0.998 0.998
0.251 0.251 0.251
0.503 0.503 0.503
```

## Properties
space-group type = R3m
energy of formation from the pure elements = 0.048 eV/atom
magnetization = 1.59 μB/cell



No. 2
Entry from the Alexandria database: a relaxed Mn2NiIr crystal (PBE-GGA).

The structure in POSCAR format:
```
Mn2NiIr
1.0
-3.758 2.326 0.700
-2.757 -2.326 2.649
4.321 1.096 0.394
Ni Ir Mn
1 1 2
direct
0.250 0.750 0.500
0.750 0.250 0.500
0.000 0.000 0.000
0.500 0.500 0.000
```

## Properties
space-group type = I4/mmm
energy of formation from the pure elements = -0.078 eV/atom
magnetization = 3.69 μB/cell



No. 3
Entry from the Alexandria database: a relaxed MnNi2Ir3 crystal (PBE-GGA).

The structure in POSCAR format:
```
MnNi2Ir3
1.0
4.634 0.000 0.000
0.000 4.757 -2.427
0.000 0.558 6.970
Mn Ni Ir
2 4 6
direct
0.750 0.354 0.707
0.250 0.646 0.293
0.000 0.744 0.000
0.500 0.256 0.000
0.000 0.256 0.000
0.500 0.744 0.000
0.750 0.858 0.717
0.250 0.142 0.283
0.750 0.931 0.361
0.250 0.069 0.639
0.750 0.430 0.361
0.250 0.570 0.639
```

## Properties
space-group type = Cmcm
energy of formation from the pure elements = 0.071 eV/atom
magnetization = 4.34 μB/cell



No. 4
Entry from the Alexandria database: a relaxed MnNi14Ir crystal (PBE-GGA).

The structure in POSCAR format:
```
MnNi14Ir
1.0
5.026 -0.305 0.000
-2.250 4.505 0.000
0.000 0.000 8.238
Mn Ni Ir
1 14 1
direct
0.043 0.957 0.500
0.208 0.792 0.000
0.708 0.292 0.000
0.042 0.458 0.500
0.208 0.292 0.000
0.542 0.958 0.500
0.708 0.792 0.000
0.374 0.123 0.754
0.374 0.123 0.246
0.877 0.626 0.754
0.877 0.626 0.246
0.374 0.626 0.753
0.374 0.626 0.247
0.875 0.125 0.753
0.875 0.125 0.247
0.542 0.458 0.500
```

## Properties
space-group type = Amm2
energy of formation from the pure elements = -0.003 eV/atom
magnetization = 12.47 μB/cell



No. 5
Entry from the Alexandria database: a relaxed MnNiIr crystal (PBE-GGA).

The structure in POSCAR format:
```
MnNiIr
1.0
-1.210 -1.712 3.497
3.649 1.806 -0.230
-1.067 2.249 0.732
Ir Mn Ni
1 1 1
direct
0.000 0.000 0.000
0.667 0.333 0.501
0.333 0.667 0.499
```

## Properties
space-group type = P-6m2
energy of formation from the pure elements = 0.013 eV/atom
energy above the lowest structure with this stoichiometry = 35 meV per atom
magnetization = 1.69 μB/cell



No. 6
Entry from the Alexandria database: a relaxed Mn2NiIr crystal (PBE-GGA).

The structure in POSCAR format:
```
Mn2NiIr
1.0
-2.020 -2.653 -4.714
-2.141 -0.292 3.889
-2.153 1.015 -1.108
Ir Mn Ni
1 2 1
direct
0.500 0.500 0.000
0.000 0.000 0.000
0.500 0.000 0.500
0.000 0.500 0.500
```

## Properties
space-group type = Cmmm
energy of formation from the pure elements = -0.031 eV/atom
magnetization = 3.73 μB/cell



No. 7
Entry from the Alexandria database: a relaxed MnNiIr crystal (PBE-GGA).

The structure in POSCAR format:
```
MnNiIr
1.0
6.586 -0.094 0.060
5.866 2.462 0.132
0.719 -0.995 2.355
Ir Mn Ni
1 1 1
direct
0.998 0.998 0.002
0.329 0.329 0.671
0.673 0.673 0.327
```

## Properties
space-group type = Fmm2
energy of formation from the pure elements = 0.131 eV/atom
energy above the lowest structure with this stoichiometry = 154 meV per atom
magnetization = 4.19 μB/cell



No. 8
Entry from the Alexandria database: a relaxed Mn3NiIr12 crystal (PBE-GGA).

The structure in POSCAR format:
```
Mn3NiIr12
1.0
-0.668 3.737 0.389
-0.741 -0.518 3.707
14.752 2.296 3.269
Mn Ni Ir
3 1 12
direct
0.000 0.000 0.247
0.000 0.000 0.500
0.000 0.000 0.753
0.000 0.000 0.000
0.500 0.500 0.000
0.500 0.500 0.250
0.500 0.500 0.500
0.500 0.500 0.750
0.500 0.000 0.126
0.500 0.000 0.375
0.500 0.000 0.625
0.500 0.000 0.874
0.000 0.500 0.126
0.000 0.500 0.375
0.000 0.500 0.625
0.000 0.500 0.874
```

## Properties
space-group type = P4/mmm
energy of formation from the pure elements = -0.110 eV/atom
magnetization = 4.58 μB/cell



No. 9
Entry from the Alexandria database: a relaxed Mn2NiIr crystal (PBE-GGA).

The structure in POSCAR format:
```
Mn2NiIr
1.0
-1.609 -2.001 0.323
2.122 0.024 1.481
-4.182 4.321 5.923
Ir Mn Ni
1 2 1
direct
0.500 0.500 0.754
0.000 0.000 0.009
0.500 0.500 0.250
0.000 0.000 0.488
```

## Properties
space-group type = Cmm2
energy of formation from the pure elements = 0.214 eV/atom
magnetization = 4.74 μB/cell



No. 10
Entry from the Alexandria database: a relaxed Mn2NiIr crystal (PBE-GGA).

The structure in POSCAR format:
```
Mn2NiIr
1.0
-3.179 -3.663 -1.004
1.480 -3.539 -3.134
0.954 2.307 4.278
Ir Mn Ni
1 2 1
direct
0.247 0.747 0.500
0.000 0.000 0.000
0.745 0.245 0.500
0.508 0.508 0.000
```

## Properties
space-group type = Imm2
energy of formation from the pure elements = 0.020 eV/atom
magnetization = 7.34 μB/cell



No. 11
Entry from the Alexandria database: a relaxed MnNiIr crystal (PBE-GGA).

The structure in POSCAR format:
```
MnNiIr
1.0
-1.466 -0.009 3.637
2.184 -1.288 2.991
1.359 2.532 2.667
Ir Mn Ni
1 1 1
direct
0.500 0.500 0.500
0.750 0.750 0.750
0.000 0.000 0.000
```

## Properties
space-group type = F-43m
energy of formation from the pure elements = 0.275 eV/atom
energy above the lowest structure with this stoichiometry = 297 meV per atom
magnetization = 2.07 μB/cell



No. 12
Entry from the Alexandria database: a relaxed MnNiIr4 crystal (PBE-GGA).

The structure in POSCAR format:
```
MnNiIr4
1.0
0.000 3.631 3.631
3.631 0.000 3.631
3.631 3.631 0.000
Mn Ni Ir
1 1 4
direct
0.250 0.250 0.250
0.000 0.000 0.000
0.625 0.625 0.125
0.625 0.125 0.625
0.625 0.625 0.625
0.125 0.625 0.625
```

## Properties
space-group type = F-43m
energy of formation from the pure elements = 0.489 eV/atom
energy above the lowest structure with this stoichiometry = 409 meV per atom
magnetization = 6.46 μB/cell



No. 13
Entry from the Alexandria database: a relaxed MnNiIr crystal (PBE-GGA).

The structure in POSCAR format:
```
MnNiIr
1.0
-1.460 2.419 -2.895
-1.744 -3.994 -2.457
-2.604 -0.931 3.362
Mn Ni Ir
2 2 2
direct
0.628 0.750 0.756
0.372 0.250 0.244
0.000 0.500 0.500
0.000 0.000 0.500
0.309 0.750 0.118
0.691 0.250 0.882
```

## Properties
space-group type = Cmcm
energy of formation from the pure elements = 0.063 eV/atom
energy above the lowest structure with this stoichiometry = 86 meV per atom
magnetization = 6.48 μB/cell



No. 14
Entry from the Alexandria database: a relaxed MnNi4Ir crystal (PBE-GGA).

The structure in POSCAR format:
```
MnNi4Ir
1.0
3.632 0.000 0.000
-1.816 5.358 -0.605
0.000 0.406 3.597
Mn Ni Ir
1 4 1
direct
0.500 0.000 0.500
0.330 0.660 0.000
0.670 0.340 0.000
0.831 0.661 0.500
0.169 0.339 0.500
0.000 0.000 0.000
```

## Properties
space-group type = Cmmm
energy of formation from the pure elements = -0.057 eV/atom
energy above the lowest structure with this stoichiometry = 0 meV per atom
magnetization = 4.78 μB/cell



No. 15
Entry from the Alexandria database: a relaxed Mn2NiIr crystal (PBE-GGA).

The structure in POSCAR format:
```
Mn2NiIr
1.0
8.451 -0.003 -0.002
8.047 2.581 -0.002
8.047 1.258 2.254
Ir Mn Ni
1 2 1
direct
0.750 0.750 0.750
0.998 0.998 0.998
0.502 0.502 0.502
0.250 0.250 0.250
```

## Properties
space-group type = R-3m
energy of formation from the pure elements = 0.104 eV/atom
magnetization = 3.38 μB/cell



No. 16
Entry from the Alexandria database: a relaxed Mn2NiIr crystal (PBE-GGA).

The structure in POSCAR format:
```
Mn2NiIr
1.0
-2.611 0.699 2.434
-2.524 -0.986 -2.425
0.195 -3.458 1.202
Ir Mn Ni
1 2 1
direct
0.000 0.500 0.500
0.000 0.000 0.000
0.500 0.500 0.000
0.500 0.000 0.500
```

## Properties
space-group type = P4/mmm
energy of formation from the pure elements = -0.038 eV/atom
magnetization = 3.49 μB/cell



No. 17
Entry from the Alexandria database: a relaxed Mn2NiIr crystal (PBE-GGA).

The structure in POSCAR format:
```
Mn2NiIr
1.0
3.516 0.000 0.000
0.000 3.516 0.000
1.758 1.758 8.308
Ni Ir Mn
2 2 4
direct
0.500 0.500 0.000
0.250 0.750 0.500
0.000 0.000 0.000
0.750 0.250 0.500
0.569 0.125 0.250
0.181 0.625 0.250
0.375 0.431 0.750
0.875 0.819 0.750
```

## Properties
space-group type = I-42d
energy of formation from the pure elements = 0.434 eV/atom
magnetization = 0.00 μB/cell



No. 18
Entry from the Alexandria database: a relaxed MnNi2Ir crystal (PBE-GGA).

The structure in POSCAR format:
```
MnNi2Ir
1.0
3.521 0.000 0.000
0.000 2.692 0.012
0.000 2.662 5.184
Ir Mn Ni
1 1 2
direct
0.000 0.500 0.500
0.500 0.745 0.755
0.000 0.996 0.005
0.500 0.259 0.240
```

## Properties
space-group type = Pmm2
energy of formation from the pure elements = -0.058 eV/atom
magnetization = 2.27 μB/cell



No. 19
Entry from the Alexandria database: a relaxed MnNi4Ir crystal (PBE-GGA).

The structure in POSCAR format:
```
MnNi4Ir
1.0
0.000 3.312 3.312
3.312 0.000 3.312
3.312 3.312 0.000
Mn Ni Ir
1 4 1
direct
0.000 0.000 0.000
0.874 0.375 0.375
0.375 0.375 0.874
0.375 0.874 0.375
0.375 0.375 0.375
0.750 0.750 0.750
```

## Properties
space-group type = F-43m
energy of formation from the pure elements = 0.048 eV/atom
energy above the lowest structure with this stoichiometry = 104 meV per atom
magnetization = 7.05 μB/cell



No. 20
Entry from the Alexandria database: a relaxed MnNi2Ir crystal (PBE-GGA).

The structure in POSCAR format:
```
MnNi2Ir
1.0
-0.771 0.498 -4.025
0.577 -3.141 -2.616
-3.249 -1.872 -1.726
Ir Mn Ni
1 1 2
direct
0.500 0.500 0.500
0.750 0.750 0.750
0.000 0.000 0.000
0.250 0.250 0.250
```

## Properties
space-group type = F-43m
energy of formation from the pure elements = 0.034 eV/atom
magnetization = 2.21 μB/cell



No. 21
Entry from the Alexandria database: a relaxed MnNi6Ir crystal (PBE-GGA).

The structure in POSCAR format:
```
MnNi6Ir
1.0
3.620 0.000 0.000
0.000 5.100 -0.032
0.000 0.033 5.100
Mn Ni Ir
1 6 1
direct
0.500 0.000 0.000
0.000 0.750 0.250
0.000 0.250 0.750
0.000 0.750 0.750
0.000 0.250 0.250
0.500 0.500 0.000
0.500 0.000 0.500
0.500 0.500 0.500
```

## Properties
space-group type = P4/mmm
energy of formation from the pure elements = -0.022 eV/atom
energy above the lowest structure with this stoichiometry = 7 meV per atom
magnetization = 8.80 μB/cell



No. 22
Entry from the Alexandria database: a relaxed Mn2Ni2Ir crystal (PBE-GGA).

The structure in POSCAR format:
```
Mn2Ni2Ir
1.0
3.441 0.000 0.000
0.000 3.441 0.000
1.720 1.720 5.299
Ni Ir Mn
2 1 2
direct
0.750 0.250 0.500
0.250 0.750 0.500
0.000 0.000 0.000
0.405 0.405 0.189
0.595 0.595 0.811
```

## Properties
space-group type = I4/mmm
energy of formation from the pure elements = 0.382 eV/atom
energy above the lowest structure with this stoichiometry = 310 meV per atom
magnetization = 2.61 μB/cell



No. 23
Entry from the Alexandria database: a relaxed MnNi6Ir crystal (PBE-GGA).

The structure in POSCAR format:
```
MnNi6Ir
1.0
6.243 -0.002 0.000
-2.086 5.884 0.000
0.000 0.000 10.209
Ir Mn Ni
4 4 24
direct
0.253 0.747 0.250
0.747 0.253 0.250
0.000 0.000 0.502
0.000 0.000 0.998
0.251 0.749 0.750
0.749 0.251 0.750
0.500 0.500 0.503
0.500 0.500 0.997
0.250 0.750 0.501
0.875 0.624 0.626
0.125 0.376 0.626
0.750 0.250 0.501
0.376 0.125 0.626
0.624 0.875 0.626
0.500 0.500 0.250
0.125 0.375 0.377
0.375 0.125 0.377
0.250 0.750 0.999
0.875 0.625 0.123
0.125 0.375 0.123
0.750 0.250 0.999
0.375 0.125 0.123
0.625 0.875 0.123
0.500 0.500 0.750
0.125 0.376 0.874
0.376 0.125 0.874
0.000 0.000 0.250
0.625 0.875 0.377
0.875 0.625 0.377
0.000 0.000 0.750
0.624 0.875 0.874
0.875 0.624 0.874
```

## Properties
space-group type = Cmmm
energy of formation from the pure elements = -0.029 eV/atom
energy above the lowest structure with this stoichiometry = 0 meV per atom
magnetization = 32.08 μB/cell



No. 24
Entry from the Alexandria database: a relaxed MnNi2Ir crystal (PBE-GGA).

The structure in POSCAR format:
```
MnNi2Ir
1.0
4.454 -0.029 0.018
3.668 2.527 0.018
0.806 0.248 4.330
Ir Mn Ni
1 1 2
direct
0.500 0.500 0.498
0.251 0.251 0.248
0.000 0.000 0.995
0.749 0.749 0.759
```

## Properties
space-group type = Cm
energy of formation from the pure elements = -0.032 eV/atom
magnetization = 2.90 μB/cell



No. 25
Entry from the Alexandria database: a relaxed MnNi4Ir2 crystal (PBE-GGA).

The structure in POSCAR format:
```
MnNi4Ir2
1.0
-1.501 -1.235 3.771
-0.748 -3.871 -1.566
4.370 -4.272 2.726
Ni Ir Mn
4 2 1
direct
0.808 0.808 0.384
0.192 0.192 0.616
0.000 0.500 0.000
0.500 0.000 0.000
0.612 0.612 0.776
0.388 0.388 0.224
0.000 0.000 0.000
```

## Properties
space-group type = I4/mmm
energy of formation from the pure elements = 1.027 eV/atom
magnetization = 3.87 μB/cell